(1)
# Mg3Si2O9 GGA-PBE optimized geometry
data_Mg3Si2O9
_space_group_name_H-M_alt 'C m c 21'
_space_group_IT_number 36
_space_group_name_Hall 'C 2c -2'
_cell_length_a 9.387
_cell_length_b 5.411
_cell_length_c 14.772
_cell_angle_alpha 90.00
_cell_angle_beta 90.00
_cell_angle_gamma 90.00
loop_
_atom_site_label
_atom_site_fract_x
_atom_site_fract_y
_atom_site_fract_z
Mg1 0.000 0.084 0.000
Mg2 0.178 0.450 0.500
Si1 0.167 0.228 0.809
O1 0.000 0.225 0.774
O2 0.000 0.272 0.448
O3 0.000 0.423 0.061
O4 0.153 0.119 0.562
O5 0.167 0.228 0.920
O6 0.249 0.479 0.773
# E above lowest polymorph	0.070	eV per atom
# E_form (uncorrected)	-2.003	eV per atom

***

(2)
# La2Pm5Er12 GGA-PBE optimized geometry
data_La2Pm5Er12
_space_group_name_H-M_alt 'C 1 2/m 1'
_space_group_IT_number 12
_space_group_name_Hall '-C 2y'
_cell_length_a 15.689
_cell_length_b 9.302
_cell_length_c 8.610
_cell_angle_alpha 90.00
_cell_angle_beta 91.83
_cell_angle_gamma 90.00
loop_
_atom_site_label
_atom_site_fract_x
_atom_site_fract_y
_atom_site_fract_z
La1 0.000 0.182 0.000
Pm1 0.000 0.500 0.500
Pm2 0.202 0.000 0.012
Pm3 0.231 0.500 0.574
Er1 0.058 0.000 0.332
Er2 0.086 0.500 0.880
Er3 0.127 0.189 0.655
Er4 0.153 0.322 0.244
# formation energy	2.546	eV per formula unit

***

(3)
# Th4AlTl3 GGA-PBE optimized geometry
data_Th4AlTl3
_space_group_name_H-M_alt 'P 4/m m m'
_space_group_IT_number 123
_space_group_name_Hall '-P 4 2'
_cell_length_a 3.519
_cell_length_b 3.519
_cell_length_c 18.304
_cell_angle_alpha 90.00
_cell_angle_beta 90.00
_cell_angle_gamma 90.00
loop_
_atom_site_label
_atom_site_fract_x
_atom_site_fract_y
_atom_site_fract_z
Th1 0.000 0.000 0.113
Th2 0.000 0.000 0.372
Al1 0.500 0.500 0.000
Tl1 0.500 0.500 0.244
Tl2 0.500 0.500 0.500
# formation energy	-1.351	eV per formula unit

***

(4)
# La4Ni3Ir GGA-PBE optimized geometry
data_La4Ni3Ir
_space_group_name_H-M_alt 'P m m 2'
_space_group_IT_number 25
_space_group_name_Hall 'P 2 -2'
_cell_length_a 3.918
_cell_length_b 4.372
_cell_length_c 10.910
_cell_angle_alpha 90.00
_cell_angle_beta 90.00
_cell_angle_gamma 90.00
loop_
_atom_site_label
_atom_site_fract_x
_atom_site_fract_y
_atom_site_fract_z
La1 0.000 0.000 0.000
La2 0.000 0.500 0.270
La3 0.500 0.000 0.496
La4 0.500 0.500 0.767
Ni1 0.000 0.000 0.705
Ni2 0.000 0.500 0.564
Ni3 0.500 0.500 0.048
Ir1 0.500 0.000 0.217
# formation energy	-3.518	eV per formula unit

***

no.,energy (eV per atom),total moment (μB/cell),Fermi-level density of states (states/eV/atom)
1,-6.307,16.010,0.3809
2,-4.517,0.000,1.3951
3,-5.234,0.000,1.3273
4,-6.179,0.000,0.8011